# 1
Here is a relaxed Li3FeCo4O8 crystal from Alexandria via LeMat-Bulk. Energies are from PBE with a Hubbard U.

Computed properties:
**Fermi-level density of states**: 0.2393 states/eV per atom
**Total DFT energy (no corrections)**: -93.19 eV per cell
**ρ**: 4.96 g/cm3
**Magnetic moment**: 14.99 Bohr magnetons per cell

a = 5.881 Å, b = 5.899 Å, c = 5.949 Å
α = 119.70°, β = 119.38°, γ = 90.30°
Last column: magnetic moment on the atom in μB.
Atoms (fractional coordinates):
Li  0.000  0.000  0.500  0.01
Li  0.000  0.500  0.000  0.01
Li  0.500  0.000  0.500  0.01
Fe  0.500  0.000  0.000  4.31
Co  0.500  0.500  0.000  2.59
Co  0.000  0.000  0.000  2.58
Co  0.000  0.500  0.500  2.51
Co  0.500  0.500  0.500  1.96
O  0.727  0.265  0.481  0.05
O  0.752  0.763  0.016  0.17
O  0.251  0.751  0.991  0.12
O  0.265  0.264  0.497  0.06
O  0.735  0.736  0.503  0.06
O  0.749  0.249  0.009  0.12
O  0.248  0.237  0.984  0.17
O  0.273  0.735  0.519  0.05



# 2
Here is a relaxed Li5Fe3Co2O10 crystal from Alexandria via LeMat-Bulk. Energies are from PBE with a Hubbard U.

Computed properties:
**Fermi-level density of states**: 0.2218 states/eV per atom
**Total DFT energy (no corrections)**: -112.02 eV per cell
**ρ**: 4.65 g/cm3
**Magnetic moment**: 10.98 Bohr magnetons per cell

a = 4.961 Å, b = 7.541 Å, c = 6.565 Å
α = 94.29°, β = 58.57°, γ = 121.66°
Last column: magnetic moment on the atom in μB.
Atoms (fractional coordinates):
Li  0.396  0.102  0.410  0.00
Li  0.802  0.697  0.789  0.00
Li  0.500  0.500  0.500  0.00
Li  0.198  0.303  0.211  0.00
Li  0.604  0.898  0.590  0.00
Fe  0.000  0.500  0.000  13.62
Fe  0.909  0.106  0.890  2.86
Fe  0.091  0.894  0.110  2.86
Co  0.706  0.305  0.694  -0.04
Co  0.294  0.695  0.306  -0.04
O  0.325  0.382  0.858  -0.12
O  0.441  0.803  0.971  -0.09
O  0.017  0.196  0.570  -0.04
O  0.738  0.978  0.239  -0.07
O  0.130  0.588  0.634  -0.03
O  0.870  0.412  0.366  -0.03
O  0.262  0.022  0.761  -0.07
O  0.983  0.804  0.430  -0.04
O  0.559  0.197  0.029  -0.09
O  0.675  0.618  0.142  -0.12



Q: Which formula does entry 2 have?
A: Li5Fe3Co2O10



Q: What is the formula in the second record?
A: Li5Fe3Co2O10



Q: Number 2 is which compound?
A: Li5Fe3Co2O10